# 1
# Na2OsO7

A relaxed Na2OsO7 crystal (GGA-PBE, the Alexandria database).

a = 6.367 Å, b = 8.586 Å, c = 6.480 Å
α = 90.00°, β = 90.25°, γ = 90.00°
Space group P2_1 (No. 4)
One atom of each set of equivalent atoms:
Na1 0.056 0.000 0.324 x2
Na2 0.243 0.371 0.195 x2
Os1 0.244 0.147 0.760 x2
O1 0.055 0.999 0.689 x2
O2 0.198 0.099 0.029 x2
O3 0.201 0.348 0.831 x2
O4 0.237 0.211 0.491 x2
O5 0.280 0.680 0.648 x2
O6 0.374 0.715 0.808 x2
O7 0.493 0.583 0.243 x2

Summary:
The calculation puts the uncorrected formation energy at -10.1 eV/f.u.

=====

# 2
# Ac4Pm3Nd8

A relaxed Ac4Pm3Nd8 crystal (GGA-PBE, the Alexandria database).

a = 13.937 Å, b = 13.418 Å, c = 7.257 Å
α = 90.00°, β = 120.67°, γ = 90.00°
Space group C2/m (No. 12)
One atom of each set of equivalent atoms:
Ac1 0.000 0.000 0.000 x2
Ac2 0.000 0.000 0.500 x2
Ac3 0.250 0.250 0.000 x4
Pm1 0.000 0.500 0.500 x2
Pm2 0.250 0.250 0.500 x4
Nd1 0.000 0.265 0.500 x4
Nd2 0.000 0.358 0.000 x4
Nd3 0.220 0.500 0.988 x4
Nd4 0.224 0.500 0.462 x4

Summary:
The value obtained for the density of states at the Fermi level is 54.1 states/eV per cell. The energy of formation from the pure elements is 7.521 kcal/mol of atoms.

=====

# 3
# SrAc3Pt4

A relaxed SrAc3Pt4 crystal (GGA-PBE, the Alexandria database).

a = 8.796 Å, b = 12.385 Å, c = 4.370 Å
α = 90.00°, β = 90.00°, γ = 90.00°
Space group Cmmm (No. 65)
One atom of each set of equivalent atoms:
Sr1 0.000 0.000 0.000 x2
Ac1 0.000 0.500 0.000 x2
Ac2 0.250 0.250 0.500 x4
Pt1 0.000 0.253 0.000 x4
Pt2 0.243 0.500 0.500 x4

Summary:
The value obtained for the density of states at the Fermi level is 8.5 states/eV per cell. The energy of formation from the pure elements is -24.393 kcal/mol of atoms.

=====

# 4
# ThNiBr

A relaxed ThNiBr crystal (GGA-PBE, the Alexandria database).

a = 7.401 Å, b = 4.033 Å, c = 11.768 Å
α = 90.00°, β = 105.92°, γ = 90.00°
Space group C2/m (No. 12)
One atom of each set of equivalent atoms:
Th1 0.019 0.000 0.156 x4
Ni1 0.153 0.500 0.990 x4
Br1 0.220 0.000 0.663 x4

Summary:
The value obtained for the density of states at the Fermi level is 3.7 states/eV per cell. The calculation puts the uncorrected formation energy at -3.0 eV/f.u.